Entry from the Alexandria database: a relaxed TaZn2Cd crystal (PBE).

Unit cell a=9.791 b=9.791 c=9.791 alpha=17.19 beta=17.19 gamma=17.19
Fractional positions:
Cd 0.250 0.250 0.250
Ta 0.750 0.750 0.750
Zn 0.005 0.005 0.005
Zn 0.495 0.495 0.495

Values from the calculation:
The volume is 17.881 A^3/atom. The energy of formation is 0.6 eV per formula unit. The calculation puts the relative energy among the computed polymorphs at 95 meV/atom. The symmetry is R-3m, No. 166. The total magnetic moment is 0.00 μB/cell. The calculation puts the energy at -14.69 eV/cell. Its calculated density is 9.8 g/cm³.

---

Entry from the Alexandria database: a relaxed TaZnCd3 crystal (PBE).

Unit cell a=5.596 b=5.596 c=5.596 alpha=90.00 beta=90.00 gamma=90.00
Last column: magnetic moment on the atom in μB.
Fractional positions:
Zn 0.500 0.500 0.500  0.08
Cd 0.000 0.500 0.000  0.09
Cd 0.000 0.000 0.500  0.04
Cd 0.500 0.000 0.000  0.12
Ta 0.000 0.000 0.000  1.78

Values from the calculation:
The volume is 35.057 A^3/atom. The energy of formation is 5.9 eV per formula unit. The calculation puts the relative energy among the computed polymorphs at 123 meV/atom. The symmetry is Pm-3m, No. 221. The total magnetic moment is 3.59 μB/cell. The calculation puts the energy at -9.94 eV/cell. Its calculated density is 5.5 g/cm³.

---

Entry from the Alexandria database: a relaxed Ta2ZnCd crystal (PBE).

Unit cell a=5.272 b=5.272 c=4.965 alpha=78.77 beta=78.77 gamma=32.53
Fractional positions:
Cd 0.250 0.250 0.250
Ta 0.006 0.006 0.991
Ta 0.494 0.494 0.509
Zn 0.750 0.750 0.750

Values from the calculation:
The volume is 18.161 A^3/atom. The energy of formation is 1.1 eV per formula unit. The calculation puts the relative energy among the computed polymorphs at 188 meV/atom. The symmetry is C2/m, No. 12. The total magnetic moment is 0.00 μB/cell. The calculation puts the energy at -24.82 eV/cell. Its calculated density is 12.3 g/cm³.

---

Entry from the Alexandria database: a relaxed TaZn2Cd crystal (PBE).

Unit cell a=2.911 b=2.911 c=8.094 alpha=90.00 beta=90.00 gamma=90.00
Fractional positions:
Zn 0.000 0.000 0.740
Zn 0.000 0.000 0.260
Cd 0.500 0.500 0.000
Ta 0.500 0.500 0.500

Values from the calculation:
The volume is 17.143 A^3/atom. The energy of formation is 0.2 eV per formula unit. The calculation puts the relative energy among the computed polymorphs at 0 meV/atom. The symmetry is P4/mmm, No. 123. The total magnetic moment is 0.00 μB/cell. The calculation puts the energy at -15.07 eV/cell. Its calculated density is 10.3 g/cm³.

---

Entry from the Alexandria database: a relaxed TaZn2Cd crystal (PBE).

Unit cell a=2.850 b=4.156 c=5.872 alpha=90.00 beta=90.00 gamma=90.00
Fractional positions:
Cd 0.000 0.000 0.493
Ta 0.500 0.500 0.771
Zn 0.000 0.000 0.991
Zn 0.500 0.500 0.245

Values from the calculation:
The volume is 17.386 A^3/atom. The energy of formation is 1.0 eV per formula unit. The calculation puts the relative energy among the computed polymorphs at 187 meV/atom. The symmetry is Pmm2, No. 25. The total magnetic moment is 0.00 μB/cell. The calculation puts the energy at -14.32 eV/cell. Its calculated density is 10.1 g/cm³.

---

Entry from the Alexandria database: a relaxed Ta2ZnCd crystal (PBE).

Unit cell a=5.122 b=5.122 c=5.253 alpha=79.57 beta=79.57 gamma=32.59
Fractional positions:
Cd 0.248 0.248 0.274
Ta 0.010 0.010 0.964
Ta 0.748 0.748 0.774
Zn 0.494 0.494 0.487

Values from the calculation:
The volume is 18.223 A^3/atom. The energy of formation is 1.1 eV per formula unit. The calculation puts the relative energy among the computed polymorphs at 195 meV/atom. The symmetry is Cm, No. 8. The total magnetic moment is 0.00 μB/cell. The calculation puts the energy at -24.80 eV/cell. Its calculated density is 12.3 g/cm³.

---

Entry from the Alexandria database: a relaxed TaZnCd2 crystal (PBE).

Unit cell a=4.133 b=4.133 c=4.296 alpha=90.00 beta=90.00 gamma=90.00
Fractional positions:
Cd 0.000 0.000 0.000
Cd 0.500 0.500 0.000
Ta 0.500 0.000 0.500
Zn 0.000 0.500 0.500

Values from the calculation:
The volume is 18.345 A^3/atom. The energy of formation is 1.0 eV per formula unit. The calculation puts the relative energy among the computed polymorphs at 105 meV/atom. The symmetry is P4/mmm, No. 123. The total magnetic moment is 0.00 μB/cell. The calculation puts the energy at -14.00 eV/cell. Its calculated density is 10.7 g/cm³.

---

Entry from the Alexandria database: a relaxed Ta2ZnCd crystal (PBE).

Unit cell a=7.468 b=7.468 c=5.941 alpha=51.06 beta=51.06 gamma=90.00
Fractional positions:
Zn 0.500 0.500 0.000
Zn 0.250 0.750 0.500
Cd 0.000 0.000 0.000
Cd 0.750 0.250 0.500
Ta 0.609 0.125 0.250
Ta 0.141 0.625 0.250
Ta 0.375 0.391 0.750
Ta 0.875 0.859 0.750

Values from the calculation:
The volume is 18.981 A^3/atom. The energy of formation is 2.8 eV per formula unit. The calculation puts the relative energy among the computed polymorphs at 628 meV/atom. The symmetry is I-42d, No. 122. The total magnetic moment is 0.00 μB/cell. The calculation puts the energy at -46.13 eV/cell. Its calculated density is 11.8 g/cm³.

---

Entry from the Alexandria database: a relaxed Ta2ZnCd crystal (PBE).

Unit cell a=10.081 b=10.081 c=10.081 alpha=16.55 beta=16.55 gamma=16.55
Fractional positions:
Cd 0.750 0.750 0.750
Ta 0.996 0.996 0.996
Ta 0.504 0.504 0.504
Zn 0.250 0.250 0.250

Values from the calculation:
The volume is 18.125 A^3/atom. The energy of formation is 1.1 eV per formula unit. The calculation puts the relative energy among the computed polymorphs at 188 meV/atom. The symmetry is R-3m, No. 166. The total magnetic moment is 0.00 μB/cell. The calculation puts the energy at -24.82 eV/cell. Its calculated density is 12.4 g/cm³.

---

Entry from the Alexandria database: a relaxed TaZnCd2 crystal (PBE).

Unit cell a=5.921 b=5.921 c=5.921 alpha=152.22 beta=128.61 gamma=59.42
Fractional positions:
Cd 0.013 0.013 0.000
Cd 0.487 0.487 0.000
Ta 0.750 0.250 0.500
Zn 0.250 0.750 0.500

Values from the calculation:
The volume is 18.766 A^3/atom. The energy of formation is 1.3 eV per formula unit. The calculation puts the relative energy among the computed polymorphs at 188 meV/atom. The symmetry is Immm, No. 71. The total magnetic moment is 0.00 μB/cell. The calculation puts the energy at -13.67 eV/cell. Its calculated density is 10.4 g/cm³.

---

Entry from the Alexandria database: a relaxed TaZnCd2 crystal (PBE).

Unit cell a=5.396 b=5.396 c=5.396 alpha=135.78 beta=135.78 gamma=64.32
Last column: magnetic moment on the atom in μB.
Fractional positions:
Cd 0.000 0.000 0.000  0.01
Cd 0.500 0.500 0.000  0.01
Ta 0.250 0.750 0.500  0.25
Zn 0.750 0.250 0.500  0.01

Values from the calculation:
The volume is 18.843 A^3/atom. The energy of formation is 1.7 eV per formula unit. The calculation puts the relative energy among the computed polymorphs at 290 meV/atom. The symmetry is I4/mmm, No. 139. The total magnetic moment is 0.44 μB/cell. The calculation puts the energy at -13.26 eV/cell. Its calculated density is 10.4 g/cm³.

---

Entry from the Alexandria database: a relaxed TaZnCd4 crystal (PBE).

Unit cell a=5.627 b=5.627 c=5.627 alpha=60.00 beta=60.00 gamma=60.00
Last column: magnetic moment on the atom in μB.
Fractional positions:
Ta 0.750 0.750 0.750  1.22
Zn 0.000 0.000 0.000  0.01
Cd 0.874 0.375 0.375  0.01
Cd 0.375 0.375 0.874  0.01
Cd 0.375 0.874 0.375  0.01
Cd 0.375 0.375 0.375  0.01

Values from the calculation:
The volume is 20.998 A^3/atom. The energy of formation is 3.7 eV per formula unit. The symmetry is F-43m, No. 216. The total magnetic moment is 1.89 μB/cell. The calculation puts the energy at -13.07 eV/cell. Its calculated density is 9.2 g/cm³.